# 1
Below is a relaxed structure of Tb4Dy3Mg, with properties calculated at the PBE-GGA level.

Results
Its size of the total moment is 0.0 μB per formula unit. The value obtained for the energy above the lowest structure with this stoichiometry is 0.00 eV per formula unit. Its calculated total energy is -67.8 eV/cell. As for the formation energy: 0.0 eV/f.u. The calculation puts the density of states at the Fermi level at 1.3849 states/eV/atom.

a b c (Å): 6.2000 7.0940 11.2431
angles (deg): 90.00 90.00 90.00
Closest atoms and distances in Å follow each position.
Fractional coordinates of all 16 atoms:
Dy (0.4766, 0.3779, 0.2555)  2 Mg 3.41-3.52, 4 Dy 3.46-3.55, 6 Tb 3.49-3.63
Dy (0.4766, 0.3779, 0.7445)  2 Mg 3.41-3.52, 4 Dy 3.46-3.55, 6 Tb 3.49-3.63
Dy (0.1377, 0.3723, 0.5000)  6 Tb 3.44-3.70, 4 Dy 3.46-3.52, 2 Mg 3.51-3.62
Dy (0.9766, 0.6221, 0.2445)  2 Mg 3.41-3.52, 4 Dy 3.46-3.55, 6 Tb 3.49-3.63
Dy (0.9766, 0.6221, 0.7555)  2 Mg 3.41-3.52, 4 Dy 3.46-3.55, 6 Tb 3.49-3.63
Dy (0.6377, 0.6277, 0.0000)  6 Tb 3.44-3.70, 4 Dy 3.46-3.52, 2 Mg 3.51-3.62
Tb (0.9871, 0.1280, 0.7562)  1 Mg 3.42, 6 Tb 3.45-3.60, 5 Dy 3.49-3.63
Tb (0.9871, 0.1280, 0.2438)  1 Mg 3.42, 6 Tb 3.45-3.60, 5 Dy 3.49-3.63
Tb (0.6407, 0.1261, 0.0000)  6 Tb 3.45-3.69, 4 Dy 3.53-3.56, 2 Mg 3.55-3.62
Tb (0.6621, 0.1231, 0.5000)  4 Dy 3.44-3.70, 6 Tb 3.45-3.69, 2 Mg 3.53-3.57
Tb (0.1407, 0.8739, 0.5000)  6 Tb 3.45-3.69, 4 Dy 3.53-3.56, 2 Mg 3.55-3.62
Tb (0.1621, 0.8769, 0.0000)  4 Dy 3.44-3.70, 6 Tb 3.45-3.69, 2 Mg 3.53-3.57
Tb (0.4871, 0.8720, 0.7438)  1 Mg 3.42, 6 Tb 3.45-3.60, 5 Dy 3.49-3.63
Tb (0.4871, 0.8720, 0.2562)  1 Mg 3.42, 6 Tb 3.45-3.60, 5 Dy 3.49-3.63
Mg (0.1474, 0.3797, 0.0000)  6 Dy 3.41-3.62, 6 Tb 3.42-3.62
Mg (0.6474, 0.6203, 0.5000)  6 Dy 3.41-3.62, 6 Tb 3.42-3.62

# 2
Below is a relaxed structure of CsMnHg2I8, with properties calculated at the PBE-GGA level.

Results
Its size of the total moment is 4.0 μB per formula unit. For the formation energy without anion corrections, the calculation gives -0.49 eV/atom. Its calculated total energy is -28.9 eV/cell.

a b c (Å): 7.3195 7.4655 10.9529
angles (deg): 97.03 95.02 68.88
Closest atoms and distances in Å follow each position.
Fractional coordinates of all 12 atoms:
I (0.6448, 0.7210, 0.5634)  1 Hg 2.73
I (0.1927, 0.7485, 0.8195)  1 Mn 2.66
I (0.8073, 0.2515, 0.1805)  1 Mn 2.66
I (0.3552, 0.2790, 0.4366)  1 Hg 2.73
I (0.7716, 0.7869, 0.0228)  1 Mn 2.73, 1 Hg 2.83
I (0.2879, 0.7776, 0.1931)  1 Hg 2.84, 1 Mn 3.04
I (0.2284, 0.2131, 0.9772)  1 Mn 2.73, 1 Hg 2.83
I (0.7121, 0.2224, 0.8069)  1 Hg 2.84, 1 Mn 3.04
Hg (0.6709, 0.6127, 0.7958)  3 I 2.73-2.84
Hg (0.3291, 0.3873, 0.2042)  3 I 2.73-2.84
Cs (0.0000, 0.0000, 0.5000)  8 I 3.98-4.45
Mn (0.0000, 0.0000, 0.0000)  4 I 2.66-2.73

# 3
Below is a relaxed structure of KScTe2, with properties calculated at the PBE-GGA level.

Results
Its size of the total moment is 0.0 μB per formula unit. For the formation energy without anion corrections, the calculation gives -0.18 eV/atom. Its calculated total energy is -14.4 eV/cell. The calculation puts the density of states at the Fermi level at 0.1029 states/eV/atom.

a b c (Å): 5.4810 5.4810 5.4810
angles (deg): 60.00 60.00 60.00
Closest atoms and distances in Å follow each position.
Fractional coordinates of all 4 atoms:
Te (0.2500, 0.2500, 0.2500)  4 K 3.36, 4 Te 3.36
Te (0.0000, 0.0000, 0.0000)  4 Te 3.36, 4 Sc 3.36
Sc (0.7500, 0.7500, 0.7500)  4 K 3.36, 4 Te 3.36
K (0.5000, 0.5000, 0.5000)  4 Te 3.36, 4 Sc 3.36

# 4
Below is a relaxed structure of K3Nd2ScSe6, with properties calculated at the PBE-GGA level.

Results
Its size of the total moment is 0.0 μB per formula unit. For the formation energy without anion corrections, the calculation gives -1.70 eV/atom. Its calculated total energy is -60.4 eV/cell. The calculation puts the density of states at the Fermi level at 0.0000 states/eV/atom.

a b c (Å): 7.3503 7.3503 8.0667
angles (deg): 98.77 98.77 120.02
Closest atoms and distances in Å follow each position.
Fractional coordinates of all 12 atoms:
K (0.8302, 0.1698, 0.5000)  6 Se 3.29-3.41
K (0.5000, 0.5000, 0.5000)  6 Se 3.29-3.44
K (0.1698, 0.8302, 0.5000)  6 Se 3.29-3.41
Se (0.0684, 0.3828, 0.2052)  1 Sc 2.80, 2 Nd 2.98
Se (0.6172, 0.9316, 0.7948)  1 Sc 2.80, 2 Nd 2.98
Se (0.9316, 0.6172, 0.7948)  1 Sc 2.80, 2 Nd 2.98
Se (0.7548, 0.7548, 0.2055)  1 Sc 2.80, 2 Nd 2.97
Se (0.2452, 0.2452, 0.7945)  1 Sc 2.80, 2 Nd 2.97
Se (0.3828, 0.0684, 0.2052)  1 Sc 2.80, 2 Nd 2.98
Nd (0.6663, 0.3337, 0.0000)  6 Se 2.97-2.98
Nd (0.3337, 0.6663, 0.0000)  6 Se 2.97-2.98
Sc (0.0000, 0.0000, 0.0000)  6 Se 2.80

# 5
Below is a relaxed structure of CuSe2Cl, with properties calculated at the PBE-GGA level.

Results
Its size of the total moment is 0.0 μB per formula unit. For the formation energy without anion corrections, the calculation gives 0.11 eV/atom. The value obtained for the energy above the lowest structure with this stoichiometry is 1.62 eV per formula unit. Its calculated total energy is -12.5 eV/cell. The calculation puts the density of states at the Fermi level at 0.7989 states/eV/atom.

a b c (Å): 3.9369 3.9369 7.0634
angles (deg): 90.00 90.00 119.72
Closest atoms and distances in Å follow each position.
Fractional coordinates of all 4 atoms:
Se (0.0000, 0.0000, 0.5676)  2 Cu 2.36, 1 Se 2.58
Se (0.0000, 0.0000, 0.9324)  2 Cu 2.36, 1 Se 2.58
Cu (0.5000, 0.5000, 0.7500)  4 Se 2.36
Cl (0.5000, 0.5000, 0.2500)  4 Se 2.99

# 6
Below is a relaxed structure of SiTc2Ni, with properties calculated at the PBE-GGA level.

Results
Its size of the total moment is 0.0 μB per formula unit. For the formation energy without anion corrections, the calculation gives -0.08 eV/atom. Its calculated total energy is -32.3 eV/cell. The calculation puts the density of states at the Fermi level at 1.0549 states/eV/atom.

a b c (Å): 4.2070 4.2070 4.2070
angles (deg): 60.00 60.00 60.00
Closest atoms and distances in Å follow each position.
Fractional coordinates of all 4 atoms:
Tc (0.0000, 0.0000, 0.0000)  4 Tc 2.58, 4 Si 2.58
Tc (0.7500, 0.7500, 0.7500)  4 Ni 2.58, 4 Tc 2.58
Ni (0.5000, 0.5000, 0.5000)  4 Tc 2.58, 4 Si 2.58
Si (0.2500, 0.2500, 0.2500)  4 Tc 2.58, 4 Ni 2.58

# 7
Below is a relaxed structure of ScSnN3, with properties calculated at the PBE-GGA level.

Results
Its size of the total moment is 3.5 μB per formula unit. For the formation energy without anion corrections, the calculation gives 0.83 eV/atom. Its calculated total energy is -31.2 eV/cell. The calculation puts the density of states at the Fermi level at 0.7730 states/eV/atom.

a b c (Å): 4.1834 4.1834 4.1834
angles (deg): 90.00 90.00 90.00
Closest atoms and distances in Å follow each position.
Fractional coordinates of all 5 atoms:
Sn (0.5000, 0.5000, 0.5000)  12 N 2.96
Sc (0.0000, 0.0000, 0.0000)  6 N 2.09
N (0.0000, 0.0000, 0.5000)  2 Sc 2.09
N (0.5000, 0.0000, 0.0000)  2 Sc 2.09
N (0.0000, 0.5000, 0.0000)  2 Sc 2.09

# 8
Below is a relaxed structure of LaZnSe, with properties calculated at the PBE-GGA level.

Results
Its size of the total moment is 0.6 μB per formula unit. For the formation energy without anion corrections, the calculation gives -0.76 eV/atom. The value obtained for the energy above the lowest structure with this stoichiometry is 1.23 eV per formula unit. Its calculated total energy is -12.0 eV/cell. The calculation puts the density of states at the Fermi level at 0.7590 states/eV/atom.

a b c (Å): 4.0529 4.0529 5.6964
angles (deg): 90.00 90.00 120.00
Closest atoms and distances in Å follow each position.
Fractional coordinates of all 3 atoms:
Se (0.3333, 0.6667, 0.3627)  3 Zn 2.76, 3 La 3.06
Zn (0.6667, 0.3333, 0.6201)  3 Se 2.76
La (0.0000, 0.0000, 0.0172)  3 Se 3.06, 3 Zn 3.25

# 9
Below is a relaxed structure of Cs3PuCd2O6, with properties calculated at the PBE-GGA level.

Results
Its size of the total moment is 3.0 μB per formula unit. For the formation energy without anion corrections, the calculation gives -1.64 eV/atom. Its calculated total energy is -68.2 eV/cell. The calculation puts the density of states at the Fermi level at 0.4262 states/eV/atom.

a b c (Å): 6.7512 6.7512 6.8190
angles (deg): 95.20 95.20 125.88
Closest atoms and distances in Å follow each position.
Fractional coordinates of all 12 atoms:
O (0.8601, 0.8601, 0.2300)  1 Pu 1.93
O (0.1399, 0.1399, 0.7700)  1 Pu 1.93
O (0.0878, 0.3827, 0.1519)  2 Cd 2.21-2.38, 1 Pu 2.39
O (0.9122, 0.6173, 0.8481)  2 Cd 2.21-2.38, 1 Pu 2.39
O (0.6173, 0.9122, 0.8481)  2 Cd 2.21-2.38, 1 Pu 2.39
O (0.3827, 0.0878, 0.1519)  2 Cd 2.21-2.38, 1 Pu 2.39
Cs (0.5000, 0.5000, 0.5000)  6 O 3.14-3.15
Cs (0.1796, 0.8204, 0.5000)  4 O 2.86-3.04
Cs (0.8204, 0.1796, 0.5000)  4 O 2.86-3.04
Cd (0.2940, 0.7060, 0.0000)  4 O 2.21-2.38
Cd (0.7060, 0.2940, 0.0000)  4 O 2.21-2.38
Pu (0.0000, 0.0000, 0.0000)  2 O 1.93

# 10
Below is a relaxed structure of Pr4Sm3Pt4, with properties calculated at the PBE-GGA level.

Results
Its size of the total moment is 0.0 μB per formula unit. Its calculated total energy is -65.6 eV/cell. As for the formation energy: -8.2 eV/f.u. The calculation puts the density of states at the Fermi level at 1.0848 states/eV/atom.

a b c (Å): 4.7172 7.9424 9.2967
angles (deg): 115.29 104.70 90.00
Closest atoms and distances in Å follow each position.
Fractional coordinates of all 11 atoms:
Sm (0.0960, 0.0960, 0.1920)  1 Sm 3.10, 4 Pt 3.16, 4 Pr 3.46
Sm (0.9040, 0.9040, 0.8080)  1 Sm 3.10, 4 Pt 3.16, 4 Pr 3.46
Sm (0.0000, 0.5000, 0.0000)  6 Pt 3.28-3.47
Pr (0.3321, 0.1156, 0.6643)  4 Pt 2.83-3.07
Pr (0.3321, 0.5487, 0.6643)  4 Pt 2.83-3.07
Pr (0.6679, 0.8844, 0.3357)  4 Pt 2.83-3.07
Pr (0.6679, 0.4513, 0.3357)  4 Pt 2.83-3.07
Pt (0.5000, 0.8210, 0.0000)  2 Pr 2.83, 1 Pt 2.84, 4 Sm 3.16
Pt (0.2032, 0.7032, 0.4064)  6 Pr 2.97-3.07, 1 Sm 3.28
Pt (0.7968, 0.2968, 0.5936)  6 Pr 2.97-3.07, 1 Sm 3.28
Pt (0.5000, 0.1790, 0.0000)  2 Pr 2.83, 1 Pt 2.84, 4 Sm 3.16

# 11
Below is a relaxed structure of TaTiMnFe, with properties calculated at the PBE-GGA level.

Results
Its size of the total moment is 0.1 μB per formula unit. Its calculated total energy is -38.6 eV/cell. As for the formation energy: -1.2 eV/f.u. The calculation puts the density of states at the Fermi level at 0.2811 states/eV/atom.

a b c (Å): 3.0165 3.0165 6.0049
angles (deg): 90.00 90.00 90.00
Closest atoms and distances in Å follow each position.
Fractional coordinates of all 4 atoms:
Ta (0.0000, 0.0000, 0.3594)  4 Mn 2.61, 4 Fe 2.63
Ti (0.0000, 0.0000, 0.8547)  4 Mn 2.59, 4 Fe 2.61
Fe (0.5000, 0.5000, 0.1038)  4 Ti 2.61, 4 Ta 2.63
Mn (0.5000, 0.5000, 0.6100)  4 Ti 2.59, 4 Ta 2.61

# 12
Below is a relaxed structure of PmPr12Sn4N3, with properties calculated at the PBE-GGA level.

Results
Its size of the total moment is 0.0 μB per formula unit. For the formation energy without anion corrections, the calculation gives -0.51 eV/atom. Its calculated total energy is -113.3 eV/cell. The calculation puts the density of states at the Fermi level at 0.8378 states/eV/atom.

a b c (Å): 8.9486 8.9486 8.9486
angles (deg): 109.47 109.47 109.47
Closest atoms and distances in Å follow each position.
Fractional coordinates of all 20 atoms:
Pr (0.2500, 0.7500, 0.5000)  2 N 2.58
Pr (0.0000, 0.7265, 0.7265)  1 N 2.34
Pr (0.7500, 0.2500, 0.5000)  2 N 2.58
Pr (0.5000, 0.2500, 0.7500)  2 N 2.58
Pr (0.5000, 0.7500, 0.2500)  2 N 2.58
Pr (0.7265, 0.0000, 0.7265)  1 N 2.34
Pr (0.2735, 0.0000, 0.2735)  1 N 2.34
Pr (0.0000, 0.2735, 0.2735)  1 N 2.34
Pr (0.2735, 0.2735, 0.0000)  1 N 2.34
Pr (0.2500, 0.5000, 0.7500)  2 N 2.58
Pr (0.7265, 0.7265, 0.0000)  1 N 2.34
Pr (0.7500, 0.5000, 0.2500)  2 N 2.58
Pm (0.0000, 0.0000, 0.0000)  6 Pr 2.83
Sn (0.5000, 0.5000, 0.5000)  12 Pr 3.65-3.66
Sn (0.0000, 0.0000, 0.5000)  12 Pr 3.65-3.66
Sn (0.0000, 0.5000, 0.0000)  12 Pr 3.65-3.66
Sn (0.5000, 0.0000, 0.0000)  12 Pr 3.65-3.66
N (0.5000, 0.0000, 0.5000)  6 Pr 2.34-2.58
N (0.0000, 0.5000, 0.5000)  6 Pr 2.34-2.58
N (0.5000, 0.5000, 0.0000)  6 Pr 2.34-2.58

size of the total moment of number 1 (Tb4Dy3Mg)?
0.0 μB per formula unit

Which of these has the lowest calculated total energy?
PmPr12Sn4N3

calculated total energy of number 5 (CuSe2Cl)?
-12.5 eV/cell